First-principles (GGA-PBE) data for Mg14NiMo after structural relaxation, as listed in the Alexandria database.

Summary:
ΔH_f (0 K) (meV/atom): 108
DOS at the Fermi energy (states/eV/f.u.): 7.9
Polymorph energy (0 for the lowest one) (meV per atom): 7

Cell lengths 9.8972, 6.2323, 10.7037 Å; angles 90.00, 90.00, 90.00 degrees
Closest atoms and distances in Å follow each position.
Space group Amm2 (No. 38)
Symmetry-distinct sites (fractional):
Mg (0.0000, 0.0000, 0.0000) x2  12 Mg 3.06-3.24
Mg (0.0000, 0.0000, 0.4986) x2  12 Mg 3.08-3.23
Mg (0.0000, 0.2495, 0.2467) x4  12 Mg 3.06-3.29
Mg (0.2551, 0.0000, 0.8351) x4  1 Mo 2.95, 11 Mg 3.00-3.20
Mg (0.2629, 0.0000, 0.3340) x4  1 Ni 2.89, 11 Mg 2.96-3.20
Mg (0.2749, 0.2479, 0.5738) x8  1 Ni 2.85, 1 Mo 2.86, 5 Mg 2.94-3.14
Mg (0.5000, 0.2463, 0.7527) x4  8 Mg 2.94-3.16, 2 Mo 2.99-3.20, 2 Ni 3.01-3.18
Ni (0.5000, 0.0000, 0.4921) x2  10 Mg 2.85-3.18, 2 Mo 3.12
Mo (0.5000, 0.0000, 0.9930) x2  10 Mg 2.86-3.20, 2 Ni 3.12